1.
An optimized crystal structure of ThAlPd2, computed with PBE.

Structure (POSCAR):
```
ThAlPd2
1.0
-1.6291 3.4938 2.2093
-3.4559 2.2553 -1.6470
-4.6797 -0.9519 2.5226
Al Th Pd
1 1 2
direct
0.5000 0.5000 0.5000
0.0000 0.0000 0.0000
0.2149 0.2149 0.3554
0.7851 0.7851 0.6446
```

DOS(E_F): 2.05 states/eV per cell
spin magnetization: 0.0 Bohr magnetons per cell
energy relative to the elements: -83 kJ per mole of atoms
symmetry: No. 166

2.
An optimized crystal structure of NbOsSeBr2, computed with PBE.

Structure (POSCAR):
```
NbOsSeBr2
1.0
-1.9228 3.6435 3.0867
-4.1912 -2.8824 0.7915
2.0931 -2.0280 3.6977
Nb Br Os Se
1 2 1 1
direct
0.5000 0.5000 0.5000
0.5000 0.0000 0.0000
0.0000 0.5000 0.0000
0.0000 0.0000 0.0000
0.0000 0.0000 0.5000
```

DOS(E_F): 6.26 states/eV per cell
E_form (uncorrected): 1.06 eV/atom
spin magnetization: 3.2 Bohr magnetons per cell
symmetry: No. 123

3.
An optimized crystal structure of Cs2WI2Cl4, computed with PBE.

Structure (POSCAR):
```
Cs2WI2Cl4
1.0
-1.7904 3.0093 -6.9690
-4.8429 -5.2386 3.1515
-0.3719 4.6308 6.2647
Cs Cl I W
2 4 2 1
direct
0.5000 0.7500 0.2500
0.5000 0.2500 0.7500
0.0000 0.2122 0.7878
0.5757 0.7878 0.7878
0.4243 0.2122 0.2122
0.0000 0.7878 0.2122
0.0000 0.7407 0.7407
0.0000 0.2593 0.2593
0.0000 0.0000 0.0000
```

DOS(E_F): 7.30 states/eV per cell
E_form (uncorrected): -1.18 eV/atom
spin magnetization: 2.0 Bohr magnetons per cell
symmetry: No. 139

4.
An optimized crystal structure of ZnTe3H, computed with PBE.

Structure (POSCAR):
```
ZnTe3H
1.0
-1.8305 -4.2185 -1.2818
3.3093 -2.2317 2.6186
-2.9132 0.1155 3.7801
Zn Te H
1 3 1
direct
0.5000 0.5000 0.5000
0.0000 0.5000 0.0000
0.0000 0.0000 0.5000
0.5000 0.0000 0.0000
0.0000 0.0000 0.0000
```

DOS(E_F): 3.71 states/eV per cell
spin magnetization: 0.0 Bohr magnetons per cell
symmetry: No. 221
VASP energy: -2.220 eV per atom

5.
An optimized crystal structure of Sb2TePAu, computed with PBE.

Structure (POSCAR):
```
Sb2TePAu
1.0
5.1640 0.0000 0.0000
0.0000 5.1640 0.0000
0.0000 0.0000 5.2388
Sb Te P Au
2 1 1 1
direct
0.5000 0.0000 0.0000
0.0000 0.5000 0.0000
0.0000 0.0000 0.5000
0.0000 0.0000 0.0000
0.5000 0.5000 0.5000
```

DOS(E_F): 3.57 states/eV per cell
E_form (uncorrected): 0.70 eV/atom
spin magnetization: 0.0 Bohr magnetons per cell
symmetry: No. 123

6.
An optimized crystal structure of Mg2Si, computed with PBE.

Structure (POSCAR):
```
Mg2Si
1.0
-1.8582 -3.7643 -3.2385
4.5072 -3.0525 -0.2289
-2.2687 -5.9295 5.7404
Mg Si
8 4
direct
0.7354 0.5303 0.6106
0.7796 0.6485 0.2168
0.8046 0.1061 0.3825
0.3020 0.7858 0.9988
0.2204 0.3515 0.7832
0.6980 0.2142 0.0012
0.2646 0.4697 0.3894
0.1954 0.8939 0.6175
0.6399 0.0220 0.7069
0.3601 0.9780 0.2931
0.8415 0.7190 0.8913
0.1585 0.2810 0.1087
```

DOS(E_F): 3.20 states/eV per cell
E_form (uncorrected): -0.02 eV/atom
spin magnetization: 0.0 Bohr magnetons per cell
symmetry: No. 2

7.
An optimized crystal structure of In3HgMo, computed with PBE.

Structure (POSCAR):
```
In3HgMo
1.0
-0.9889 4.6948 2.5800
-5.0281 -1.7185 1.2000
1.8481 -2.1635 4.6453
In Mo Hg
3 1 1
direct
0.0000 0.5000 0.0000
0.5000 0.0000 0.0000
0.0000 0.0000 0.5000
0.5000 0.5000 0.5000
0.0000 0.0000 0.0000
```

DOS(E_F): 2.14 states/eV per cell
spin magnetization: 4.5 Bohr magnetons per cell
energy relative to the elements: 115 kJ per mole of atoms
symmetry: No. 221

8.
An optimized crystal structure of Bi2I3Cl, computed with PBE.

Structure (POSCAR):
```
Bi2I3Cl
1.0
4.2983 0.0000 0.0000
0.0000 9.2807 -0.4359
-2.1492 -2.5378 15.6078
I Cl Bi
6 2 4
direct
0.0306 0.8330 0.0612
0.5709 0.4334 0.1419
0.9694 0.1670 0.9388
0.2847 0.2138 0.5694
0.7153 0.7862 0.4306
0.4291 0.5666 0.8581
0.3869 0.9052 0.7738
0.6131 0.0948 0.2262
0.9342 0.8170 0.8684
0.2848 0.5219 0.5696
0.7152 0.4781 0.4304
0.0658 0.1830 0.1316
```

DOS(E_F): 0.93 states/eV per cell
E_form (uncorrected): -0.39 eV/atom
spin magnetization: 0.0 Bohr magnetons per cell
symmetry: No. 12

9.
An optimized crystal structure of ErTh2Pt4, computed with PBE.

Structure (POSCAR):
```
ErTh2Pt4
1.0
7.1161 0.3315 -2.2348
-3.7491 6.0571 -2.2357
-0.1770 -0.3347 7.4564
Th Pt Er
4 8 2
direct
0.6250 0.4989 0.3739
0.1250 0.2511 0.6261
0.5011 0.8750 0.1261
0.7489 0.3750 0.8739
0.8816 0.7918 0.2462
0.2082 0.4545 0.0899
0.8854 0.2955 0.2538
0.3646 0.1183 0.9101
0.0418 0.6316 0.7462
0.7045 0.9582 0.5899
0.5455 0.6354 0.7538
0.3683 0.1146 0.4101
0.0000 0.0000 0.0000
0.2500 0.7500 0.5000
```

DOS(E_F): 8.20 states/eV per cell
spin magnetization: 0.0 Bohr magnetons per cell
energy relative to the elements: -117 kJ per mole of atoms
symmetry: No. 122

10.
An optimized crystal structure of TeIrRh2, computed with PBE.

Structure (POSCAR):
```
TeIrRh2
1.0
-4.2451 -1.9481 1.6874
-2.8715 3.5164 2.0132
2.2810 -0.6513 -4.3631
Rh Ir Te
2 1 1
direct
0.7303 0.7303 0.0000
0.2697 0.2697 0.0000
0.0000 0.5000 0.5000
0.5000 0.0000 0.5000
```

DOS(E_F): 5.17 states/eV per cell
E_form (uncorrected): 0.20 eV/atom
spin magnetization: 0.0 Bohr magnetons per cell
symmetry: No. 71

11.
An optimized crystal structure of Cs3Ag2Br5Cl2, computed with PBE.

Structure (POSCAR):
```
Cs3Ag2Br5Cl2
1.0
-3.1627 -4.2710 -1.3967
4.3438 -3.3432 0.3869
-3.5131 1.5681 13.9693
Cl Br Cs Ag
2 5 3 2
direct
0.3090 0.3090 0.6181
0.6910 0.6910 0.3819
0.9060 0.4060 0.8120
0.0940 0.5940 0.1880
0.5000 0.5000 0.0000
0.5940 0.0940 0.1880
0.4060 0.9060 0.8120
0.1843 0.1843 0.3687
0.0000 0.0000 0.0000
0.8157 0.8157 0.6313
0.5981 0.5981 0.1961
0.4019 0.4019 0.8039
```

DOS(E_F): 3.79 states/eV per cell
E_form (uncorrected): -1.10 eV/atom
spin magnetization: 0.0 Bohr magnetons per cell
symmetry: No. 139

12.
An optimized crystal structure of InPbBrO2, computed with PBE.

Structure (POSCAR):
```
InPbBrO2
1.0
-0.7296 3.7717 -1.5517
-7.2269 -0.7213 1.6449
2.0228 3.3065 7.0860
In O Br Pb
2 4 2 2
direct
0.7500 0.0920 0.1433
0.2500 0.9080 0.8567
0.2500 0.9852 0.1202
0.2500 0.0213 0.6253
0.7500 0.0148 0.8798
0.7500 0.9787 0.3747
0.2500 0.5679 0.7721
0.7500 0.4321 0.2279
0.7500 0.1826 0.6203
0.2500 0.8174 0.3797
```

DOS(E_F): 0.00 states/eV per cell
E_form (uncorrected): -1.25 eV/atom
spin magnetization: 0.0 Bohr magnetons per cell
symmetry: No. 11

13.
An optimized crystal structure of Rb2CrSe, computed with PBE.

Structure (POSCAR):
```
Rb2CrSe
1.0
-1.9070 -7.9111 -10.4481
13.0062 -2.4384 -0.5276
5.2497 -7.1019 -3.9739
Se Cr Rb
2 2 4
direct
0.7500 0.2500 0.5000
0.0000 0.0000 0.0000
0.5000 0.5000 0.0000
0.2500 0.7500 0.5000
0.3750 0.1888 0.7500
0.8112 0.1250 0.2500
0.9388 0.6250 0.2500
0.8750 0.0612 0.7500
```

DOS(E_F): 3.96 states/eV per cell
E_form (uncorrected): -0.13 eV/atom
spin magnetization: 8.4 Bohr magnetons per cell
symmetry: No. 122

14.
An optimized crystal structure of Mn5P, computed with PBE.

Structure (POSCAR):
```
Mn5P
1.0
-2.2167 1.6561 0.1703
-0.3997 -0.2542 -2.7315
-5.0288 -6.8725 1.3756
P Mn
1 5
direct
0.5000 0.5000 0.0000
0.0000 0.0000 0.8493
0.0000 0.0000 0.5000
0.5000 0.5000 0.6695
0.0000 0.0000 0.1507
0.5000 0.5000 0.3305
```

DOS(E_F): 6.76 states/eV per cell
spin magnetization: 3.7 Bohr magnetons per cell
energy relative to the elements: -8 kJ per mole of atoms
symmetry: No. 123

15.
An optimized crystal structure of YPuGe2, computed with PBE.

Structure (POSCAR):
```
YPuGe2
1.0
-2.3387 -0.7395 2.2283
0.1078 -3.1756 -0.9407
5.7656 -1.4539 5.5688
Pu Y Ge
1 1 2
direct
0.5000 0.5000 0.5000
0.5000 0.5000 0.0000
0.0000 0.0000 0.7508
0.0000 0.0000 0.2492
```

DOS(E_F): 7.96 states/eV per cell
spin magnetization: 5.6 Bohr magnetons per cell
energy relative to the elements: -52 kJ per mole of atoms
symmetry: No. 123

16.
An optimized crystal structure of Dy2Ho3Er6Mg, computed with PBE.

Structure (POSCAR):
```
Dy2Ho3Er6Mg
1.0
-0.9286 5.9474 0.6867
-3.9734 -3.9701 2.2704
7.4703 -0.8859 8.8149
Er Ho Mg Dy
6 3 1 2
direct
0.0826 0.4155 0.2490
0.5845 0.9174 0.7510
0.7495 0.7495 0.2499
0.4155 0.0826 0.2490
0.9174 0.5845 0.7510
0.2505 0.2505 0.7501
0.1659 0.8341 0.5000
0.5000 0.5000 0.5000
0.8341 0.1659 0.5000
0.0000 0.0000 0.0000
0.3336 0.6664 0.0000
0.6664 0.3336 0.0000
```

DOS(E_F): 17.45 states/eV per cell
spin magnetization: 0.0 Bohr magnetons per cell
energy relative to the elements: 3 kJ per mole of atoms
symmetry: No. 12

17.
An optimized crystal structure of CaMgGe, computed with PBE.

Structure (POSCAR):
```
CaMgGe
1.0
3.4166 0.0000 0.0000
0.0000 3.4166 0.0000
-1.7083 -1.7083 6.2033
Mg Ca Ge
1 1 1
direct
0.3094 0.3094 0.6188
0.6021 0.6021 0.2042
0.9385 0.9385 0.8769
```

DOS(E_F): 0.97 states/eV per cell
spin magnetization: 0.0 Bohr magnetons per cell
energy relative to the elements: -24 kJ per mole of atoms
symmetry: No. 107

18.
An optimized crystal structure of CaMgZn2O4, computed with PBE.

Structure (POSCAR):
```
CaMgZn2O4
1.0
-1.9696 1.6406 4.1889
3.1138 -0.8036 4.6564
3.1042 3.7682 2.8616
O Mg Zn Ca
4 1 2 1
direct
0.1382 0.8618 0.4058
0.8618 0.5942 0.1382
0.4058 0.1381 0.5942
0.5942 0.4058 0.8618
0.5000 0.5000 0.5000
0.2500 0.2500 0.2500
0.7500 0.7500 0.7500
0.0000 0.0001 0.0000
```

DOS(E_F): 0.00 states/eV per cell
E_form (uncorrected): -2.05 eV/atom
spin magnetization: 0.0 Bohr magnetons per cell
symmetry: No. 121

19.
An optimized crystal structure of PmSnPd, computed with PBE.

Structure (POSCAR):
```
PmSnPd
1.0
3.4869 0.0000 0.0000
0.0000 3.4869 0.0000
-1.7435 -1.7435 5.6679
Pd Pm Sn
1 1 1
direct
0.6854 0.6854 0.3707
0.0074 0.0074 0.0149
0.3072 0.3072 0.6144
```

DOS(E_F): 3.07 states/eV per cell
spin magnetization: 0.0 Bohr magnetons per cell
energy relative to the elements: -61 kJ per mole of atoms
symmetry: No. 107

20.
An optimized crystal structure of TiCoSCl2, computed with PBE.

Structure (POSCAR):
```
TiCoSCl2
1.0
4.6694 0.0000 0.0000
0.0000 4.6694 0.0000
0.0000 0.0000 4.6782
S Cl Co Ti
1 2 1 1
direct
0.0000 0.0000 0.5000
0.0000 0.5000 0.0000
0.5000 0.0000 0.0000
0.5000 0.5000 0.5000
0.0000 0.0000 0.0000
```

DOS(E_F): 7.93 states/eV per cell
E_form (uncorrected): -0.16 eV/atom
spin magnetization: 2.3 Bohr magnetons per cell
symmetry: No. 123